A relaxed structure of Rb12BrO3F4. Source: Alexandria via LeMat-Bulk, functional GGA-PBE.

Results
SG	Im-3, No. 204
E_form (uncorrected)	-1.588	eV per atom
total moment	0.0	Bohr magnetons per cell
raw total energy	-3.371	eV/atom

Lattice parameters (Å, degrees): 9.250 9.250 9.250 109.47 109.47 109.47
Atoms (fractional coordinates):
Rb 0.143 0.321 0.822
Rb 0.178 0.499 0.321
Rb 0.178 0.857 0.679
Rb 0.321 0.178 0.499
Rb 0.321 0.822 0.143
Rb 0.499 0.321 0.178
Rb 0.501 0.679 0.822
Rb 0.679 0.178 0.857
Rb 0.679 0.822 0.501
Rb 0.822 0.143 0.321
Rb 0.822 0.501 0.679
Rb 0.857 0.679 0.178
Br 0.000 0.000 0.000
O 0.000 0.500 0.500
O 0.500 0.000 0.500
O 0.500 0.500 0.000
F 0.000 0.000 0.500
F 0.000 0.500 0.000
F 0.500 0.000 0.000
F 0.500 0.500 0.500